# 1
## La2AlGaH (PBE)

Data for a geometry-optimized La2AlGaH structure.

energy above the lowest structure with this stoichiometry: 0.000 eV per atom

Cell and atoms, written as POSCAR:
```
La2AlGaH
1.0
5.010 0.000 0.000
0.000 5.010 0.000
0.000 0.000 4.291
H Al Ga La
1 1 1 2
Cartesian
0.000 0.000 0.000 H
0.000 0.000 2.146 Al
2.505 2.505 2.146 Ga
0.000 2.505 0.000 La
2.505 0.000 0.000 La
```

=====

# 2
## MgAlGa2H (PBE)

Data for a geometry-optimized MgAlGa2H structure.

Cell and atoms, written as POSCAR:
```
MgAlGa2H
1.0
4.301 0.000 0.000
0.000 4.230 0.000
0.000 0.000 4.301
H Mg Al Ga
1 1 1 2
Cartesian
0.000 0.000 0.000 H
2.150 2.115 2.150 Mg
0.000 2.115 0.000 Al
0.000 0.000 2.150 Ga
2.150 0.000 0.000 Ga
```

=====

# 3
## AlGaHPd4 (PBE)

Data for a geometry-optimized AlGaHPd4 structure.

Cell and atoms, written as POSCAR:
```
AlGaHPd4
1.0
5.411 0.000 0.000
0.000 5.403 0.000
-2.705 0.000 6.640
Al Ga H Pd
2 2 2 8
Cartesian
2.705 4.052 1.504 Al
0.000 1.351 5.136 Al
0.000 1.351 1.488 Ga
2.705 4.052 5.153 Ga
0.000 4.052 3.210 H
2.705 1.351 3.430 H
2.705 1.351 5.682 Pd
0.000 4.052 5.721 Pd
0.000 4.052 0.958 Pd
2.705 1.351 0.919 Pd
1.353 2.701 3.320 Pd
-1.353 0.000 3.320 Pd
1.353 0.000 3.320 Pd
-1.353 2.701 3.320 Pd
```

=====

# 4
## Al2GaReH (PBE)

Data for a geometry-optimized Al2GaReH structure.

Cell and atoms, written as POSCAR:
```
Al2GaReH
1.0
4.157 0.000 0.000
0.000 3.645 0.000
0.000 0.000 4.157
Re Al Ga H
1 2 1 1
Cartesian
0.000 1.822 0.000 Re
0.000 0.000 2.078 Al
2.078 0.000 0.000 Al
2.078 1.822 2.078 Ga
0.000 0.000 0.000 H
```

=====

# 5
## Al2GaHRh (PBE)

Data for a geometry-optimized Al2GaHRh structure.

Cell and atoms, written as POSCAR:
```
Al2GaHRh
1.0
4.893 0.000 0.000
0.000 3.074 0.000
0.000 0.000 4.893
H Rh Al Ga
1 1 2 1
Cartesian
0.000 1.537 0.000 H
2.446 1.537 2.446 Rh
0.000 0.000 2.446 Al
2.446 0.000 0.000 Al
0.000 0.000 0.000 Ga
```

=====

# 6
## AlGaH2S4 (PBE)

Data for a geometry-optimized AlGaH2S4 structure.

Cell and atoms, written as POSCAR:
```
AlGaH2S4
1.0
6.667 0.000 0.000
0.000 7.228 0.000
0.000 0.000 7.161
Al Ga H S
2 2 4 8
Cartesian
3.658 5.941 3.580 Al
0.324 1.287 0.000 Al
6.268 1.153 3.580 Ga
2.935 6.075 0.000 Ga
3.095 1.611 2.535 H
3.095 1.611 4.626 H
6.428 5.617 6.115 H
6.428 5.617 1.046 H
2.558 1.060 0.000 S
5.892 6.168 3.580 S
2.549 0.919 3.580 S
5.882 6.309 0.000 S
2.722 4.889 5.308 S
6.056 2.339 1.728 S
6.056 2.339 5.432 S
2.722 4.889 1.852 S
```

=====

# 7
## Sc2AlGaH (PBE)

Data for a geometry-optimized Sc2AlGaH structure.

Cell and atoms, written as POSCAR:
```
Sc2AlGaH
1.0
4.302 0.000 0.000
0.000 4.302 0.000
0.000 0.000 4.181
Sc H Al Ga
2 1 1 1
Cartesian
0.000 2.151 0.000 Sc
2.151 0.000 0.000 Sc
0.000 0.000 0.000 H
0.000 0.000 2.090 Al
2.151 2.151 2.090 Ga
```

=====

# 8
## Sr2AlGaH (PBE)

Data for a geometry-optimized Sr2AlGaH structure.

Cell and atoms, written as POSCAR:
```
Sr2AlGaH
1.0
5.414 0.000 0.000
0.000 5.414 0.000
0.000 0.000 4.093
Sr Al Ga H
2 1 1 1
Cartesian
0.000 2.707 0.000 Sr
2.707 0.000 0.000 Sr
0.000 0.000 2.046 Al
2.707 2.707 2.046 Ga
0.000 0.000 0.000 H
```

=====

# 9
## Ti2AlGaH (PBE)

Data for a geometry-optimized Ti2AlGaH structure.

energy above the lowest structure with this stoichiometry: 0.000 eV per atom

Cell and atoms, written as POSCAR:
```
Ti2AlGaH
1.0
-1.892 1.389 3.190
-0.385 -3.692 1.380
3.623 0.366 1.989
H Al Ga Ti
1 1 1 2
Cartesian
0.000 0.000 0.000 H
1.812 0.183 0.995 Al
0.674 -0.968 3.280 Ga
-0.192 -1.846 0.690 Ti
-0.946 0.695 1.595 Ti
```

=====

# 10
## ZrAl2GaH (PBE)

Data for a geometry-optimized ZrAl2GaH structure.

Cell and atoms, written as POSCAR:
```
ZrAl2GaH
1.0
-2.794 -1.433 2.621
2.711 0.291 3.049
-1.308 3.981 0.783
H Ga Zr Al
1 1 1 2
Cartesian
0.000 0.000 0.000 H
-0.654 1.991 0.391 Ga
-0.695 1.420 3.226 Zr
1.356 0.146 1.524 Al
-1.397 -0.717 1.311 Al
```

=====

# 11
## HfAl3Ga2 (PBE)

Data for a geometry-optimized HfAl3Ga2 structure.

Cell and atoms, written as POSCAR:
```
HfAl3Ga2
1.0
4.041 0.000 0.000
0.000 4.041 0.000
0.000 0.000 6.681
Hf Al Ga
1 3 2
Cartesian
2.021 2.021 0.000 Hf
2.021 0.000 2.105 Al
0.000 2.021 4.577 Al
0.000 0.000 0.000 Al
2.021 0.000 4.653 Ga
0.000 2.021 2.029 Ga
```

=====

# 12
## Hf2Al8Ga (PBE)

Data for a geometry-optimized Hf2Al8Ga structure.

Cell and atoms, written as POSCAR:
```
Hf2Al8Ga
1.0
-4.234 -0.142 3.309
-0.698 -5.094 -1.112
6.521 -0.190 3.970
Hf Al Ga
2 8 1
Cartesian
-0.105 -4.845 4.025 Hf
1.694 -0.581 2.142 Hf
-2.697 -2.926 3.010 Al
2.133 -2.573 4.839 Al
-0.293 -2.071 3.904 Al
1.881 -3.356 2.263 Al
-0.544 -2.853 1.328 Al
4.286 -2.501 3.157 Al
-2.000 -5.175 1.585 Al
3.589 -0.252 4.582 Al
0.000 0.000 0.000 Ga
```

=====

# 13
## HfAlGa (PBE)

Data for a geometry-optimized HfAlGa structure.

Cell and atoms, written as POSCAR:
```
HfAlGa
1.0
-4.397 -3.279 4.893
0.615 -4.867 -2.709
5.385 -0.173 1.534
Hf Al Ga
4 4 4
Cartesian
-1.152 -2.287 3.848 Hf
2.141 -1.165 2.579 Hf
1.849 -4.807 3.260 Hf
-0.245 -3.512 0.458 Hf
1.500 -1.260 -0.294 Al
4.193 -1.347 0.473 Al
4.500 -3.780 -0.881 Al
1.808 -3.694 -1.648 Al
-0.481 -0.940 1.580 Ga
1.470 -2.512 4.847 Ga
2.519 -3.460 0.992 Ga
-0.915 -4.859 2.726 Ga
```

=====

# 14
## HfAlGa3 (PBE)

Data for a geometry-optimized HfAlGa3 structure.

energy above the lowest structure with this stoichiometry: 0.665 eV per atom

Cell and atoms, written as POSCAR:
```
HfAlGa3
1.0
4.760 0.000 0.000
0.000 4.760 0.000
0.000 0.000 4.760
Hf Al Ga
1 1 3
Cartesian
2.380 2.380 2.380 Hf
0.000 0.000 0.000 Al
0.000 2.380 0.000 Ga
0.000 0.000 2.380 Ga
2.380 0.000 0.000 Ga
```

=====

# 15
## Hf2AlGa (PBE)

Data for a geometry-optimized Hf2AlGa structure.

energy above the lowest structure with this stoichiometry: 0.080 eV per atom

Cell and atoms, written as POSCAR:
```
Hf2AlGa
1.0
3.019 0.000 0.000
0.000 3.019 0.000
0.000 0.000 8.173
Hf Al Ga
2 1 1
Cartesian
0.000 0.000 6.158 Hf
0.000 0.000 2.016 Hf
1.510 1.510 4.087 Al
1.510 1.510 0.000 Ga
```

=====

# 16
## HfAlGa (PBE)

Data for a geometry-optimized HfAlGa structure.

Cell and atoms, written as POSCAR:
```
HfAlGa
1.0
5.239 0.000 -0.051
0.000 2.925 0.000
-0.796 0.000 7.086
Hf Al Ga
2 2 2
Cartesian
1.329 1.463 2.183 Hf
3.114 1.463 4.853 Hf
0.000 0.000 0.000 Al
2.619 0.000 -0.025 Al
0.510 0.000 4.629 Ga
3.933 0.000 2.407 Ga
```

=====

# 17
## Hf5Al2Ga (PBE)

Data for a geometry-optimized Hf5Al2Ga structure.

Cell and atoms, written as POSCAR:
```
Hf5Al2Ga
1.0
7.242 0.000 0.000
0.000 7.242 0.000
-3.621 -3.621 6.083
Hf Al Ga
10 4 2
Cartesian
1.139 2.482 4.188 Hf
4.760 6.103 1.895 Hf
0.000 0.000 0.000 Hf
3.621 3.621 0.000 Hf
-1.139 -2.482 4.188 Hf
2.482 -1.139 4.188 Hf
-2.482 1.139 4.188 Hf
1.139 4.760 1.895 Hf
6.103 2.482 1.895 Hf
2.482 1.139 1.895 Hf
0.970 2.651 0.000 Al
4.591 0.970 0.000 Al
2.651 6.271 0.000 Al
6.271 4.591 0.000 Al
3.621 3.621 3.041 Ga
0.000 0.000 3.041 Ga
```

=====

# 18
## HfAl2Ga3 (PBE)

Data for a geometry-optimized HfAl2Ga3 structure.

energy above the lowest structure with this stoichiometry: 0.070 eV per atom

Cell and atoms, written as POSCAR:
```
HfAl2Ga3
1.0
5.993 -0.302 0.734
-1.018 5.913 0.734
0.071 0.080 6.229
Hf Al Ga
2 4 6
Cartesian
5.640 0.047 2.291 Hf
-0.595 5.645 5.406 Hf
-0.083 3.681 1.463 Al
1.346 5.292 3.119 Al
5.128 2.011 6.234 Al
3.699 0.400 4.578 Al
3.906 3.575 4.407 Ga
2.000 1.425 6.405 Ga
1.139 2.117 3.290 Ga
3.045 4.266 1.292 Ga
3.562 1.889 2.291 Ga
1.483 3.803 5.406 Ga
```

=====

# 19
## Hf5AlGa3 (PBE)

Data for a geometry-optimized Hf5AlGa3 structure.

Cell and atoms, written as POSCAR:
```
Hf5AlGa3
1.0
-4.787 4.066 0.854
-2.845 -2.872 4.882
4.429 5.370 7.113
Hf Al Ga
10 2 6
Cartesian
-4.282 4.760 5.244 Hf
-3.476 -0.619 3.574 Hf
-4.904 1.653 5.211 Hf
-2.152 2.243 4.901 Hf
-1.052 4.320 7.948 Hf
1.700 4.910 7.637 Hf
-3.129 0.643 7.634 Hf
-4.157 1.813 2.162 Hf
1.078 1.804 7.605 Hf
-0.074 5.921 5.215 Hf
3.061 4.036 5.475 Al
-6.265 2.528 7.374 Al
-1.802 5.568 10.458 Ga
-3.540 3.264 7.328 Ga
0.000 0.000 0.000 Ga
2.215 2.685 3.557 Ga
-1.401 0.996 2.391 Ga
0.336 3.300 5.521 Ga
```

=====

# 20
## HfAlGa (PBE)

Data for a geometry-optimized HfAlGa structure.

Cell and atoms, written as POSCAR:
```
HfAlGa
1.0
5.242 0.000 0.000
0.000 2.932 0.000
-1.013 0.000 7.064
Hf Al Ga
2 2 2
Cartesian
3.601 0.000 6.376 Hf
1.928 0.000 3.666 Hf
1.021 1.466 6.091 Al
3.291 1.466 1.498 Al
0.663 1.466 1.481 Ga
4.519 1.466 3.970 Ga
```

=====

# 21
## Hf2AlGa3 (PBE)

Data for a geometry-optimized Hf2AlGa3 structure.

energy above the lowest structure with this stoichiometry: 0.000 eV per atom

Cell and atoms, written as POSCAR:
```
Hf2AlGa3
1.0
3.772 0.000 -1.193
0.000 4.147 0.000
0.056 0.000 6.734
Hf Al Ga
2 1 3
Cartesian
0.592 2.074 1.870 Hf
3.236 2.074 3.671 Hf
0.000 0.000 0.000 Al
1.261 0.000 3.985 Ga
2.567 0.000 1.556 Ga
1.886 2.074 -0.597 Ga
```

=====

# 22
## Hf2AlGa3 (PBE)

Data for a geometry-optimized Hf2AlGa3 structure.

energy above the lowest structure with this stoichiometry: 0.099 eV per atom

Cell and atoms, written as POSCAR:
```
Hf2AlGa3
1.0
-0.158 3.727 3.679
-6.069 -0.164 -0.096
0.130 -6.588 3.038
Hf Al Ga
4 2 6
Cartesian
-3.097 0.271 3.318 Hf
-0.063 0.353 3.366 Hf
-6.035 -3.378 3.256 Hf
-3.001 -3.296 3.304 Hf
-4.670 2.669 2.687 Al
-1.427 -5.694 3.935 Al
-1.634 2.717 2.700 Ga
-4.463 -5.742 3.922 Ga
-1.500 -1.609 1.565 Ga
-1.563 -1.327 5.110 Ga
-4.534 -1.698 1.512 Ga
-4.598 -1.416 5.057 Ga
```

=====

# 23
## Hf4AlGa (PBE)

Data for a geometry-optimized Hf4AlGa structure.

Cell and atoms, written as POSCAR:
```
Hf4AlGa
1.0
-1.611 -0.643 4.967
2.917 -6.114 0.154
5.754 2.801 2.229
Hf Al Ga
8 2 2
Cartesian
4.205 0.909 1.482 Hf
4.465 -4.223 0.901 Hf
1.877 -1.691 0.390 Hf
6.793 -1.623 1.993 Hf
5.435 -3.680 4.073 Hf
1.624 -0.276 3.277 Hf
1.971 -3.899 2.921 Hf
5.088 -0.057 4.429 Hf
3.932 -1.818 2.433 Al
3.127 -2.139 4.917 Al
-0.403 -0.161 1.242 Ga
-1.208 -0.482 3.725 Ga
```

=====

# 24
## HfAlGa (PBE)

Data for a geometry-optimized HfAlGa structure.

Cell and atoms, written as POSCAR:
```
HfAlGa
1.0
-2.992 0.575 -1.209
0.070 -3.817 -1.987
-1.556 0.315 4.000
Hf Al Ga
1 1 1
Cartesian
-2.992 0.575 -1.209 Hf
-2.511 -0.774 1.399 Al
-1.968 -2.152 -0.596 Ga
```

=====

no.,total energy (eV per cell)
1,-21.9
2,-14.1
3,-68.6
4,-25.3
5,-19.6
6,-67.8
7,-24.7
8,-14.6
9,-27.6
10,-23.7
11,-28.5
12,-54.3
13,-71.7
14,-19.8
15,-28.1
16,-35.5
17,-125.2
18,-54.4
19,-123.3
20,-35.6
21,-35.4
22,-69.6
23,-97.1
24,-17.7